1.
First-principles (PBE) data for crystalline La2As3Ir2 at its relaxed geometry, as listed in the Alexandria database.

The structure in POSCAR format:
```
La2As3Ir2
1.0
4.216 0.000 -1.005
0.000 7.251 0.000
0.102 0.000 9.771
As Ir La
6 4 4
Cartesian
1.888 6.996 7.917
2.430 3.370 0.848
3.321 1.813 4.584
1.888 3.880 7.917
0.997 5.438 4.181
2.430 0.255 0.848
1.321 0.365 5.539
1.321 3.260 5.539
2.997 3.991 3.227
2.997 6.885 3.227
4.052 1.813 7.651
0.266 5.438 1.115
3.650 5.438 5.964
0.668 1.813 2.802
```

Calculated values
Formation energy, eV per atom: -0.84


2.
First-principles (PBE) data for crystalline TaAlHg2 at its relaxed geometry, as listed in the Alexandria database.

The structure in POSCAR format:
```
TaAlHg2
1.0
-0.789 -0.603 5.203
-4.344 -0.734 -2.940
0.660 -2.944 -0.241
Al Ta Hg
1 1 2
Cartesian
-1.842 -1.839 -1.591
-0.065 -1.773 2.481
0.000 0.000 0.000
-2.567 -0.668 1.131
```

Calculated values
Formation energy, eV per atom: 0.29


3.
First-principles (PBE) data for crystalline DyTiCu at its relaxed geometry, as listed in the Alexandria database.

The structure in POSCAR format:
```
DyTiCu
1.0
-0.058 -3.410 -0.395
2.201 1.902 -1.821
8.423 -1.180 8.948
Dy Ti Cu
2 2 2
Cartesian
2.659 -0.094 0.422
8.177 -0.867 6.284
5.768 -2.405 4.998
3.564 -2.097 2.657
5.419 -0.480 3.352
0.454 -1.661 -0.646
```

Calculated values
Formation energy, eV per atom: 0.23


4.
First-principles (PBE) data for crystalline CsNi3Se at its relaxed geometry, as listed in the Alexandria database.

The structure in POSCAR format:
```
CsNi3Se
1.0
-2.585 3.865 -1.231
-3.624 -1.545 2.760
1.823 2.411 3.742
Ni Cs Se
3 1 1
Cartesian
-1.812 -0.772 1.380
0.911 1.206 1.871
-1.293 1.933 -0.616
0.000 0.000 0.000
-2.193 2.366 2.636
```

Calculated values
Energy above the lowest structure with this stoichiometry, meV/atom: 1472.8


5.
First-principles (PBE) data for crystalline La2Zn5Pd4 at its relaxed geometry, as listed in the Alexandria database.

The structure in POSCAR format:
```
La2Zn5Pd4
1.0
5.364 0.000 0.000
2.682 4.772 0.000
2.682 0.000 8.341
Zn Pd La
5 4 2
Cartesian
1.341 2.386 0.000
4.023 2.386 4.171
2.682 0.000 0.000
4.023 2.386 0.000
6.705 2.386 4.171
2.682 1.512 2.128
5.364 1.512 6.214
8.046 3.260 6.214
5.364 3.260 2.128
5.364 0.000 2.416
2.682 0.000 5.925
```

Calculated values
Formation energy, eV per atom: -0.62


6.
First-principles (PBE) data for crystalline CaFeAs2 at its relaxed geometry, as listed in the Alexandria database.

The structure in POSCAR format:
```
CaFeAs2
1.0
-0.694 -3.947 -2.876
0.206 -2.808 4.051
-3.200 3.486 -1.394
Fe As Ca
1 2 1
Cartesian
-1.619 -1.350 1.622
-0.215 -2.977 0.518
-0.029 -0.401 0.070
-2.070 -1.919 -1.841
```

Calculated values
Formation energy, eV per atom: -0.31
Energy above the lowest structure with this stoichiometry, meV/atom: 160.5


7.
First-principles (PBE) data for crystalline SbRu3O at its relaxed geometry, as listed in the Alexandria database.

The structure in POSCAR format:
```
SbRu3O
1.0
4.897 0.000 0.000
0.000 4.897 0.000
0.000 0.000 4.897
O Ru Sb
1 3 1
Cartesian
2.449 2.449 2.449
0.000 2.449 0.000
2.449 0.000 0.000
0.000 0.000 2.449
0.000 0.000 0.000
```

Calculated values
Energy above the lowest structure with this stoichiometry, meV/atom: 1869.7


8.
First-principles (PBE) data for crystalline ScGaPdI2 at its relaxed geometry, as listed in the Alexandria database.

The structure in POSCAR format:
```
ScGaPdI2
1.0
-4.697 -1.658 2.599
-1.227 -3.164 -4.235
2.809 -4.253 2.364
Sc I Ga Pd
1 2 1 1
Cartesian
0.000 0.000 0.000
1.405 -2.126 1.182
-2.348 -0.829 1.299
-0.613 -1.582 -2.118
-1.557 -4.537 0.364
```

Calculated values
Calculated total energy, eV per cell: -16.70


| no. | calculated density (kg/m3) |
| --- | --- |
| 1 | 9838 |
| 2 | 13042 |
| 3 | 7220 |
| 4 | 5787 |
| 5 | 8015 |
| 6 | 5044 |
| 7 | 6234 |
| 8 | 4604 |